Compound: CsCeCrO4
Source: Alexandria
Functional: PBE+U
Structure: relaxed

Unit cell a=6.904 b=6.904 c=6.904 alpha=123.11 beta=114.31 gamma=92.41
Atoms (fractional coordinates):
Cs1 0.402 0.152 0.250
Cs2 0.598 0.848 0.750
Ce1 0.000 0.500 0.500
Ce2 0.500 0.500 0.000
Cr1 0.000 0.000 0.500
Cr2 0.000 0.500 0.000
O1 0.154 0.731 0.423
O2 0.192 0.269 0.923
O3 0.218 0.263 0.545
O4 0.218 0.673 0.955
O5 0.782 0.327 0.045
O6 0.782 0.737 0.455
O7 0.808 0.731 0.077
O8 0.846 0.269 0.577

* E: -7.10 eV/atom
* total magnetization: 6.00 μB/cell
* SG: Imma